1.
! Cr3Br | the Alexandria database | PBE | optimized geometry; values from VASP
! ρ, g cm⁻³: 5.821
! ΔE_f (raw), eV per atom: 0.4256
&SYSTEM
  ibrav = 0, nat = 4, ntyp = 2
/
ATOMIC_SPECIES
Br 79.90 Br.upf
Cr 52.00 Cr.upf
CELL_PARAMETERS angstrom
-2.384 -1.538 -1.306
-1.150 -0.621 2.837
-3.659 5.846 -0.203
ATOMIC_POSITIONS angstrom
Br 0.000 0.000 0.000
Cr -4.347 3.043 0.623
Cr -1.830 2.923 -0.101
Cr -2.846 0.644 0.706

=====

2.
! LuPuTlSn | the Alexandria database | PBE | optimized geometry; values from VASP
! ρ, g cm⁻³: 11.555
! Formation energy from the elements, eV/atom: -0.2635
&SYSTEM
  ibrav = 0, nat = 4, ntyp = 4
/
ATOMIC_SPECIES
Tl 204.38 Tl.upf
Lu 174.97 Lu.upf
Sn 118.71 Sn.upf
Pu 244.00 Pu.upf
CELL_PARAMETERS angstrom
-3.369 -3.558 2.079
0.738 -5.197 -0.884
1.594 -3.174 3.964
ATOMIC_POSITIONS angstrom
Tl -0.777 -8.947 3.869
Lu 0.000 0.000 0.000
Sn -0.259 -2.982 1.290
Pu -0.518 -5.965 2.580

=====

3.
! AcCe2Cu6 | the Alexandria database | PBE | optimized geometry; values from VASP
! ρ, g cm⁻³: 7.848
! Formation energy from the elements, eV/atom: -0.0154
&SYSTEM
  ibrav = 0, nat = 9, ntyp = 3
/
ATOMIC_SPECIES
Ac 227.00 Ac.upf
Ce 140.12 Ce.upf
Cu 63.55 Cu.upf
CELL_PARAMETERS angstrom
3.654 0.000 1.006
0.911 6.769 3.828
-0.186 0.495 7.812
ATOMIC_POSITIONS angstrom
Ac 0.724 7.264 11.639
Ce 3.604 4.655 8.323
Ce 0.775 2.609 4.323
Cu 2.389 0.457 5.600
Cu 1.990 6.807 7.046
Cu 1.336 3.067 9.421
Cu 2.377 4.709 5.639
Cu 2.001 2.555 7.007
Cu 3.042 4.197 3.225

=====

4.
! Ca4SbAu | the Alexandria database | PBE | optimized geometry; values from VASP
! ρ, g cm⁻³: 4.390
! ΔE_f (raw), eV per atom: -0.6775
&SYSTEM
  ibrav = 0, nat = 12, ntyp = 3
/
ATOMIC_SPECIES
Ca 40.08 Ca.upf
Sb 121.76 Sb.upf
Au 196.97 Au.upf
CELL_PARAMETERS angstrom
5.210 0.000 -2.411
0.000 7.127 0.000
-0.449 0.000 9.968
ATOMIC_POSITIONS angstrom
Ca 2.862 1.782 2.889
Ca 1.898 5.346 4.669
Ca 3.092 1.782 7.063
Ca 1.668 5.346 0.495
Ca 4.656 0.054 0.267
Ca 0.105 3.617 7.291
Ca 4.656 3.510 0.267
Ca 0.105 7.074 7.291
Sb 1.609 1.782 -0.079
Sb 3.152 5.346 7.636
Au 0.754 1.782 4.972
Au 4.006 5.346 2.585

=====

5.
! La2NbCdFe | the Alexandria database | PBE | optimized geometry; values from VASP
! ρ, g cm⁻³: 6.218
! Formation energy from the elements, eV/atom: 0.5841
&SYSTEM
  ibrav = 0, nat = 5, ntyp = 4
/
ATOMIC_SPECIES
Nb 92.91 Nb.upf
Cd 112.41 Cd.upf
Fe 55.84 Fe.upf
La 138.91 La.upf
CELL_PARAMETERS angstrom
5.712 0.000 0.000
0.000 4.412 0.000
0.000 0.000 5.712
ATOMIC_POSITIONS angstrom
Nb 0.000 0.000 0.000
Cd 2.856 2.206 2.856
Fe 0.000 2.206 0.000
La 0.000 0.000 2.856
La 2.856 0.000 0.000

=====

6.
! HfCuI2N | the Alexandria database | PBE | optimized geometry; values from VASP
! ρ, g cm⁻³: 6.239
! ΔE_f (raw), eV per atom: 0.1241
&SYSTEM
  ibrav = 0, nat = 5, ntyp = 4
/
ATOMIC_SPECIES
I 126.90 I.upf
Hf 178.49 Hf.upf
Cu 63.55 Cu.upf
N 14.01 N.upf
CELL_PARAMETERS angstrom
5.852 0.000 0.000
0.000 5.852 0.000
0.000 0.000 3.963
ATOMIC_POSITIONS angstrom
I 0.000 2.926 0.000
I 2.926 0.000 0.000
Hf 0.000 0.000 0.000
Cu 2.926 2.926 1.981
N 0.000 0.000 1.981